Entry 1:
# Tc2Br13

A relaxed Tc2Br13 crystal (PBE-GGA, Alexandria via LeMat-Bulk).

Results
As for the uncorrected formation energy: -0.1672 eV per atom.

```
data_Tc2Br13
_cell_length_a 7.3351
_cell_length_b 8.4985
_cell_length_c 9.7586
_cell_angle_alpha 100.24
_cell_angle_beta 106.44
_cell_angle_gamma 104.82
_symmetry_space_group_name_H-M 'P -1'
_symmetry_Int_Tables_number 2
loop_
_symmetry_equiv_pos_as_xyz
'x,y,z'
'-x,-y,-z'
loop_
_atom_site_label
_atom_site_fract_x
_atom_site_fract_y
_atom_site_fract_z
Tc1 0.2007 0.1998 0.3573
Br1 0.0005 0.2931 0.5026
Br2 0.0594 0.0651 0.7730
Br3 0.0625 0.3537 0.1778
Br4 0.3582 0.0933 0.5608
Br5 0.3671 0.4740 0.0517
Br6 0.4149 0.1378 0.2175
Br7 0.5000 0.5000 0.5000
```

Entry 2:
# LaCdSb2I

A relaxed LaCdSb2I crystal (PBE-GGA, Alexandria via LeMat-Bulk).

Results
The polymorph energy (0 for the lowest one) is 164 meV/atom. As for the uncorrected formation energy: 0.1060 eV per atom.

```
data_LaCdSb2I
_cell_length_a 6.2210
_cell_length_b 6.2210
_cell_length_c 6.2161
_cell_angle_alpha 90.00
_cell_angle_beta 90.00
_cell_angle_gamma 90.00
_symmetry_space_group_name_H-M 'P 4/m m m'
_symmetry_Int_Tables_number 123
_symmetry_space_group_name_Hall '-P 4 2'
loop_
_atom_site_label
_atom_site_fract_x
_atom_site_fract_y
_atom_site_fract_z
La1 0.0000 0.0000 0.0000
Cd1 0.5000 0.5000 0.5000
Sb1 0.0000 0.5000 0.0000
I1 0.0000 0.0000 0.5000
```

Entry 3:
# Te2PBr

A relaxed Te2PBr crystal (PBE-GGA, Alexandria via LeMat-Bulk).

Results
The polymorph energy (0 for the lowest one) is 140 meV/atom. As for the uncorrected formation energy: 0.2244 eV per atom.

```
data_Te2PBr
_cell_length_a 3.6800
_cell_length_b 3.6800
_cell_length_c 28.5469
_cell_angle_alpha 90.00
_cell_angle_beta 90.00
_cell_angle_gamma 120.00
_symmetry_space_group_name_H-M 'R 3 m'
_symmetry_Int_Tables_number 160
_symmetry_space_group_name_Hall 'R 3 -2"'
loop_
_atom_site_label
_atom_site_fract_x
_atom_site_fract_y
_atom_site_fract_z
Te1 0.0000 0.0000 0.0000
Te2 0.0000 0.0000 0.2363
P1 0.0000 0.0000 0.5137
Br1 0.0000 0.0000 0.7823
```

Entry 4:
# TaSb2P

A relaxed TaSb2P crystal (PBE-GGA, Alexandria via LeMat-Bulk).

Results
As for the uncorrected formation energy: 0.4948 eV per atom.

```
data_TaSb2P
_cell_length_a 6.8805
_cell_length_b 7.8893
_cell_length_c 3.1569
_cell_angle_alpha 90.00
_cell_angle_beta 103.19
_cell_angle_gamma 90.00
_symmetry_space_group_name_H-M 'C 1 2/m 1'
_symmetry_Int_Tables_number 12
loop_
_symmetry_equiv_pos_as_xyz
'x,y,z'
'-x,-y,-z'
'-x,y,-z'
'x,-y,z'
'x+1/2,y+1/2,z'
'-x+1/2,-y+1/2,-z'
'-x+1/2,y+1/2,-z'
'x+1/2,-y+1/2,z'
loop_
_atom_site_label
_atom_site_fract_x
_atom_site_fract_y
_atom_site_fract_z
Ta1 0.0000 0.0000 0.0000
Sb1 0.2500 0.2500 0.5000
P1 0.0000 0.5000 0.0000
```